No. 1
Below is K4Y3TiO8 after structural relaxation, with properties calculated at the GGA-PBE level.

a b c (Å): 6.830 6.830 7.357
angles (deg): 117.64 117.64 59.85
Sites, in units of the cell vectors:
K (0.000, 0.000, 0.000)
K (0.000, 0.500, 0.000)
K (0.500, 0.000, 0.000)
K (0.500, 0.500, 0.000)
Y (0.000, 0.000, 0.500)
Y (0.000, 0.500, 0.500)
Y (0.500, 0.000, 0.500)
Ti (0.500, 0.500, 0.500)
O (0.229, 0.229, 0.689)
O (0.246, 0.716, 0.679)
O (0.277, 0.277, 0.316)
O (0.284, 0.754, 0.321)
O (0.716, 0.246, 0.679)
O (0.723, 0.723, 0.684)
O (0.754, 0.284, 0.321)
O (0.771, 0.771, 0.311)

Crystal system: monoclinic
Total magnetization, μB/atom: 0.06
DOS(E_F), states/eV/atom: 0.23
Energy relative to the elements, uncorrected, eV/atom: -2.5889
Calculated volume, A^3/atom: 15.7

---

No. 2
Below is K2YTiO4 after structural relaxation, with properties calculated at the GGA-PBE level.

a b c (Å): 7.391 7.397 5.975
angles (deg): 90.00 90.00 90.00
Sites, in units of the cell vectors:
K (0.242, 0.157, 0.000)
K (0.258, 0.843, 0.500)
K (0.742, 0.843, 0.500)
K (0.758, 0.157, 0.000)
Y (0.000, 0.658, 0.982)
Y (0.500, 0.342, 0.482)
Ti (0.000, 0.372, 0.478)
Ti (0.500, 0.628, 0.978)
O (0.000, 0.411, 0.174)
O (0.000, 0.593, 0.628)
O (0.213, 0.252, 0.543)
O (0.287, 0.748, 0.043)
O (0.500, 0.407, 0.128)
O (0.500, 0.589, 0.674)
O (0.713, 0.748, 0.043)
O (0.787, 0.252, 0.543)

Crystal system: orthorhombic
Total magnetization, μB/atom: 0.10
DOS(E_F), states/eV/atom: 0.26
Energy relative to the elements, uncorrected, eV/atom: -2.4702
Calculated volume, A^3/atom: 20.4